A relaxed Ce12CoRu6 crystal. Source: Alexandria, functional PBE-GGA.

Structure (POSCAR):
```
Ce12CoRu6
1.0
-3.378 4.133 5.954
-5.955 0.626 -5.300
-1.663 -7.351 2.672
Ru Ce Co
6 12 1
Direct
0.383 0.698 0.873
0.617 0.302 0.127
0.873 0.383 0.698
0.127 0.617 0.302
0.698 0.873 0.383
0.302 0.127 0.617
0.597 0.430 0.811
0.430 0.811 0.597
0.189 0.403 0.570
0.403 0.570 0.189
0.097 0.954 0.317
0.046 0.683 0.903
0.683 0.903 0.046
0.317 0.097 0.954
0.903 0.046 0.683
0.811 0.597 0.430
0.570 0.189 0.403
0.954 0.317 0.097
0.000 0.000 0.000
```

## Properties
As for the crystal system: trigonal.

***

A relaxed Ac6Ir2PdS crystal. Source: Alexandria, functional PBE-GGA.

Structure (POSCAR):
```
Ac6Ir2PdS
1.0
7.548 0.001 0.002
3.775 6.538 0.001
3.776 2.180 7.104
Ac Ir Pd S
6 2 1 1
Direct
0.603 0.238 0.252
0.400 0.746 0.743
0.111 0.400 0.743
0.746 0.111 0.743
0.906 0.603 0.252
0.238 0.906 0.252
0.004 0.004 0.988
0.507 0.507 0.478
0.822 0.822 0.535
0.324 0.324 0.028
```

## Properties
As for the crystal system: trigonal. The value obtained for the formation energy (no corrections) is -815 kJ/mol of formula units.

***

A relaxed Ho2PaIO8 crystal. Source: Alexandria, functional PBE-GGA.

Structure (POSCAR):
```
Ho2PaIO8
1.0
5.069 -0.090 -0.003
-0.075 5.071 -0.006
0.004 0.008 6.962
O Ho I Pa
8 2 1 1
Direct
0.814 0.186 0.242
0.700 0.700 0.500
0.708 0.708 0.000
0.292 0.292 0.000
0.186 0.814 0.758
0.814 0.186 0.758
0.300 0.300 0.500
0.186 0.814 0.242
0.500 0.500 0.245
0.500 0.500 0.755
0.000 0.000 0.000
0.000 0.000 0.500
```

## Properties
As for the crystal system: orthorhombic. The value obtained for the formation energy (no corrections) is -3031 kJ/mol of formula units.

***

| no. | electronic total energy (eV/atom) |
| --- | --- |
| 1 | -7.22 |
| 2 | -6.01 |
| 3 | -7.61 |